(1)
Below is crystalline La12Tb7Th at its relaxed geometry, with properties calculated at the PBE level.

abc: 6.402 11.558 11.558
angles: 116.67 100.64 100.64
Sites, in units of the cell vectors:
Tb: 0.500 0.000 0.000
La: 0.574 0.644 0.001
Th: 0.000 0.000 0.000
La: 0.094 0.593 0.187
La: 0.499 0.406 0.593
La: 0.070 0.643 0.644
La: 0.427 0.001 0.357
Tb: 0.370 0.251 0.251
La: 0.426 0.356 0.999
Tb: 0.630 0.749 0.749
Tb: 0.119 0.749 0.001
La: 0.501 0.594 0.407
Tb: 0.881 0.001 0.251
La: 0.906 0.407 0.813
Tb: 0.119 0.999 0.749
La: 0.093 0.187 0.594
La: 0.573 0.999 0.643
La: 0.930 0.357 0.356
La: 0.907 0.813 0.406
Tb: 0.881 0.251 0.999

Excess energy over the best structure of this formula in the dataset, meV per atom: 35

***

(2)
Below is crystalline LaBeZnHRhS at its relaxed geometry, with properties calculated at the PBE level.

abc: 3.875 4.756 5.723
angles: 105.92 100.31 94.09
Sites, in units of the cell vectors:
H: 0.197 0.465 0.649
Rh: 0.175 0.281 0.358
S: 0.287 0.994 0.963
Be: 0.645 0.053 0.322
La: 0.777 0.464 0.905
Zn: 0.154 0.823 0.490

Excess energy over the best structure of this formula in the dataset, meV per atom: 133

***

(3)
Below is crystalline LaRe3H at its relaxed geometry, with properties calculated at the PBE level.

abc: 4.850 4.850 4.850
angles: 90.00 90.00 90.00
Each line ends with the local moment (μB).
Sites, in units of the cell vectors:
H: 0.500 0.500 0.500  0.27
La: 0.000 0.000 0.000  0.00
Re: 0.000 0.500 0.000  0.07
Re: 0.500 0.000 0.000  0.11
Re: 0.000 0.000 0.500  0.07

Excess energy over the best structure of this formula in the dataset, meV per atom: 2893

***

(4)
Below is crystalline Re2HgTe at its relaxed geometry, with properties calculated at the PBE level.

abc: 4.164 4.164 6.985
angles: 70.39 70.39 58.43
Sites, in units of the cell vectors:
Hg: 0.747 0.747 0.818
Re: 0.270 0.270 0.180
Re: 0.973 0.973 0.088
Te: 0.509 0.509 0.414

E_form (uncorrected), meV per atom: 637
Excess energy over the best structure of this formula in the dataset, meV per atom: 271

***

(5)
Below is crystalline InH2Pd2 at its relaxed geometry, with properties calculated at the PBE level.

abc: 3.418 3.418 5.468
angles: 71.79 71.79 90.00
Sites, in units of the cell vectors:
Pd: 0.656 0.656 0.689
In: 0.000 0.000 0.000
H: 0.750 0.250 0.500
H: 0.250 0.750 0.500
Pd: 0.344 0.344 0.311

Excess energy over the best structure of this formula in the dataset, meV per atom: 0

***

(6)
Below is crystalline TaMn2Cr at its relaxed geometry, with properties calculated at the PBE level.

abc: 3.006 3.006 5.907
angles: 90.00 90.00 90.00
Each line ends with the local moment (μB).
Sites, in units of the cell vectors:
Cr: 0.500 0.500 0.768  -1.28
Ta: 0.000 0.000 0.492  0.18
Mn: 0.500 0.500 0.244  -0.23
Mn: 0.000 0.000 0.996  2.43

E_tot, eV per atom: -9.914

***

(7)
Below is crystalline Pr5Bi2N2 at its relaxed geometry, with properties calculated at the PBE level.

abc: 5.223 7.226 7.569
angles: 103.39 90.00 111.19
Sites, in units of the cell vectors:
Pr: 0.154 0.307 0.586
Pr: 0.666 0.332 0.926
Bi: 0.588 0.177 0.311
Pr: 0.846 0.693 0.414
N: 0.163 0.326 0.893
N: 0.837 0.674 0.107
Pr: 0.334 0.668 0.074
Pr: 0.000 0.000 0.000
Bi: 0.412 0.823 0.689

E_form (uncorrected), meV per atom: -886

***

(8)
Below is crystalline TlAuBr2 at its relaxed geometry, with properties calculated at the PBE level.

abc: 4.456 4.710 6.884
angles: 69.58 90.00 90.00
Sites, in units of the cell vectors:
Br: 0.000 0.840 0.946
Au: 0.500 0.945 0.736
Br: 0.500 0.144 0.336
Tl: 0.000 0.571 0.481

E_form (uncorrected), meV per atom: -389
Excess energy over the best structure of this formula in the dataset, meV per atom: 92

***

(9)
Below is crystalline RbAg3Cl at its relaxed geometry, with properties calculated at the PBE level.

abc: 5.429 5.429 5.429
angles: 90.00 90.00 90.00
Sites, in units of the cell vectors:
Ag: 0.000 0.500 0.000
Rb: 0.500 0.500 0.500
Cl: 0.000 0.000 0.000
Ag: 0.000 0.000 0.500
Ag: 0.500 0.000 0.000

E_form (uncorrected), meV per atom: 376
Excess energy over the best structure of this formula in the dataset, meV per atom: 0

***

(10)
Below is crystalline La2TlPb3Se6 at its relaxed geometry, with properties calculated at the PBE level.

abc: 4.536 8.728 9.781
angles: 100.28 103.41 90.00
Sites, in units of the cell vectors:
Se: 0.669 0.569 0.338
Pb: 0.159 0.850 0.318
La: 0.833 0.671 0.665
Pb: 0.500 0.500 0.000
Se: 0.321 0.905 0.642
Se: 0.331 0.431 0.662
Se: 0.679 0.095 0.358
Tl: 0.500 0.000 0.000
Pb: 0.841 0.150 0.682
Se: 0.989 0.732 0.978
La: 0.167 0.329 0.335
Se: 0.011 0.268 0.022

E_form (uncorrected), meV per atom: -1046

***

(11)
Below is crystalline TcHRuRh2 at its relaxed geometry, with properties calculated at the PBE level.

abc: 3.859 3.859 3.960
angles: 90.00 90.00 90.00
Sites, in units of the cell vectors:
Tc: 0.500 0.500 0.500
Rh: 0.000 0.500 0.000
Ru: 0.000 0.000 0.500
H: 0.000 0.000 0.000
Rh: 0.500 0.000 0.000

Excess energy over the best structure of this formula in the dataset, meV per atom: 0

***

(12)
Below is crystalline CdTcAu2 at its relaxed geometry, with properties calculated at the PBE level.

abc: 2.901 2.901 8.334
angles: 90.00 90.00 90.04
Each line ends with the local moment (μB).
Sites, in units of the cell vectors:
Au: 0.000 0.000 0.514  0.02
Cd: 0.500 0.500 0.250  0.00
Au: 0.000 0.000 0.986  0.02
Tc: 0.500 0.500 0.750  0.62

E_tot, eV per atom: -4.257

***

Number 1: total magnetization 0.00 μB/cell. Number 2: total magnetization 0.00 μB/cell. Number 3: total magnetization 0.86 μB/cell. Number 4: total magnetization 0.00 μB/cell. Number 5: total magnetization 0.00 μB/cell. Number 6: total magnetization 1.11 μB/cell. Number 7: total magnetization 0.00 μB/cell. Number 8: total magnetization 0.00 μB/cell. Number 9: total magnetization 0.00 μB/cell. Number 10: total magnetization 0.00 μB/cell. Number 11: total magnetization 0.00 μB/cell. Number 12: total magnetization 0.72 μB/cell.